# KCuTcTe3, relaxed, DFT PBE
# * energy relative to the lowest polymorph listed for this composition: 0.000 eV per atom
# * E_tot: -4.3908 eV per atom
data_KCuTcTe3
_cell_length_a 8.4385
_cell_length_b 3.9972
_cell_length_c 10.5450
_cell_angle_alpha 90.00
_cell_angle_beta 113.32
_cell_angle_gamma 90.00
_symmetry_space_group_name_H-M 'P 1 21/m 1'
_symmetry_Int_Tables_number 11
loop_
_symmetry_equiv_pos_as_xyz
'x,y,z'
'-x,-y,-z'
'-x,y+1/2,-z'
'x,-y+1/2,z'
loop_
_atom_site_label
_atom_site_fract_x
_atom_site_fract_y
_atom_site_fract_z
_atom_site_occupancy
K1 0.2275 0.2500 0.2085 1
Cu1 0.4179 0.2500 0.8869 1
Tc1 0.2013 0.7500 0.6718 1
Te1 0.0397 0.7500 0.3859 1
Te2 0.2497 0.7500 0.9390 1
Te3 0.4005 0.2500 0.6413 1